(1)
# PBE-GGA MnIn2Se, relaxed
data_MnIn2Se
_chemical_formula_sum 'Mn4 In8 Se4'
_cell_length_a 5.751
_cell_length_b 6.003
_cell_length_c 10.868
_cell_angle_alpha 90.00
_cell_angle_beta 90.00
_cell_angle_gamma 90.00
_space_group_name_H-M_alt 'P 1'
_space_group_IT_number 1
loop_
_space_group_symop_operation_xyz
'x,y,z'
loop_
_atom_site_label
_atom_site_type_symbol
_atom_site_fract_x
_atom_site_fract_y
_atom_site_fract_z
Mn1 Mn 0.000 0.000 0.000
Mn2 Mn 0.000 0.500 0.500
Mn3 Mn 0.500 0.000 0.500
Mn4 Mn 0.500 0.500 0.000
In1 In 0.000 0.250 0.250
In2 In 0.000 0.250 0.750
In3 In 0.000 0.750 0.250
In4 In 0.000 0.750 0.750
In5 In 0.500 0.250 0.250
In6 In 0.500 0.250 0.750
In7 In 0.500 0.750 0.250
In8 In 0.500 0.750 0.750
Se1 Se 0.000 0.000 0.500
Se2 Se 0.000 0.500 0.000
Se3 Se 0.500 0.000 0.000
Se4 Se 0.500 0.500 0.500
# VASP energy = -71.34 eV/cell
# total magnetization = 4.5 μB/f.u.
# space group = Fmmm (69)
# uncorrected formation energy = 74 meV per atom
# calculated volume = 375.2 Å³ per cell

(2)
# PBE-GGA CaTa2GeTe, relaxed
data_CaTa2GeTe
_chemical_formula_sum 'Ca1 Ta2 Ge1 Te1'
_cell_length_a 4.856
_cell_length_b 4.856
_cell_length_c 5.436
_cell_angle_alpha 90.00
_cell_angle_beta 90.00
_cell_angle_gamma 90.00
_space_group_name_H-M_alt 'P 1'
_space_group_IT_number 1
loop_
_space_group_symop_operation_xyz
'x,y,z'
loop_
_atom_site_label
_atom_site_type_symbol
_atom_site_fract_x
_atom_site_fract_y
_atom_site_fract_z
Ca1 Ca 0.000 0.000 0.000
Ta1 Ta 0.000 0.500 0.500
Ta2 Ta 0.500 0.000 0.500
Ge1 Ge 0.000 0.000 0.500
Te1 Te 0.500 0.500 0.000
# VASP energy = -30.03 eV/cell
# total magnetization = 1.3 μB/f.u.
# space group = P4/mmm (123)
# uncorrected formation energy = 687 meV per atom
# calculated volume = 128.2 Å³ per cell

(3)
# PBE-GGA Cd3CoBr, relaxed
data_Cd3CoBr
_chemical_formula_sum 'Cd3 Co1 Br1'
_cell_length_a 5.113
_cell_length_b 5.113
_cell_length_c 5.113
_cell_angle_alpha 90.00
_cell_angle_beta 90.00
_cell_angle_gamma 90.00
_space_group_name_H-M_alt 'P 1'
_space_group_IT_number 1
loop_
_space_group_symop_operation_xyz
'x,y,z'
loop_
_atom_site_label
_atom_site_type_symbol
_atom_site_fract_x
_atom_site_fract_y
_atom_site_fract_z
Cd1 Cd 0.000 0.000 0.500
Cd2 Cd 0.000 0.500 0.000
Cd3 Cd 0.500 0.000 0.000
Co1 Co 0.000 0.000 0.000
Br1 Br 0.500 0.500 0.500
# relative energy among the computed polymorphs = 0 meV/atom
# VASP energy = -10.11 eV/cell
# total magnetization = 1.1 μB/f.u.
# space group = Pm-3m (221)
# uncorrected formation energy = 282 meV per atom
# calculated volume = 133.7 Å³ per cell

(4)
# PBE-GGA CsRb2SeI6, relaxed
data_CsRb2SeI6
_chemical_formula_sum 'Cs1 Rb2 Se1 I6'
_cell_length_a 9.145
_cell_length_b 9.145
_cell_length_c 9.145
_cell_angle_alpha 118.83
_cell_angle_beta 118.83
_cell_angle_gamma 92.05
_space_group_name_H-M_alt 'P 1'
_space_group_IT_number 1
loop_
_space_group_symop_operation_xyz
'x,y,z'
loop_
_atom_site_label
_atom_site_type_symbol
_atom_site_fract_x
_atom_site_fract_y
_atom_site_fract_z
Cs1 Cs 0.000 0.000 0.000
Rb1 Rb 0.250 0.750 0.500
Rb2 Rb 0.750 0.250 0.500
Se1 Se 0.500 0.500 0.000
I1 I 0.271 0.271 0.541
I2 I 0.271 0.729 0.000
I3 I 0.281 0.281 0.000
I4 I 0.719 0.719 0.000
I5 I 0.729 0.271 0.000
I6 I 0.729 0.729 0.459
# VASP energy = -22.72 eV/cell
# total magnetization = 1.0 μB/f.u.
# space group = I4/mmm (139)
# uncorrected formation energy = -714 meV per atom
# calculated volume = 550.1 Å³ per cell

(5)
# PBE-GGA PmGa2Ag3, relaxed
data_PmGa2Ag3
_chemical_formula_sum 'Pm3 Ga6 Ag9'
_cell_length_a 9.005
_cell_length_b 9.005
_cell_length_c 10.281
_cell_angle_alpha 108.24
_cell_angle_beta 108.24
_cell_angle_gamma 27.60
_space_group_name_H-M_alt 'P 1'
_space_group_IT_number 1
loop_
_space_group_symop_operation_xyz
'x,y,z'
loop_
_atom_site_label
_atom_site_type_symbol
_atom_site_fract_x
_atom_site_fract_y
_atom_site_fract_z
Pm1 Pm 0.000 0.000 0.000
Pm2 Pm 0.155 0.155 0.706
Pm3 Pm 0.845 0.845 0.294
Ga1 Ga 0.203 0.203 0.132
Ga2 Ga 0.362 0.362 0.533
Ga3 Ga 0.466 0.466 0.214
Ga4 Ga 0.534 0.534 0.786
Ga5 Ga 0.638 0.638 0.467
Ga6 Ga 0.797 0.797 0.868
Ag1 Ag 0.043 0.043 0.342
Ag2 Ag 0.213 0.213 0.393
Ag3 Ag 0.323 0.323 0.032
Ag4 Ag 0.378 0.378 0.802
Ag5 Ag 0.500 0.500 0.500
Ag6 Ag 0.622 0.622 0.198
Ag7 Ag 0.677 0.677 0.968
Ag8 Ag 0.787 0.787 0.607
Ag9 Ag 0.957 0.957 0.658
# VASP energy = -63.15 eV/cell
# total magnetization = 0.0 μB/f.u.
# space group = C2/m (12)
# formation energy = -0.282 eV/atom
# calculated volume = 365.6 Å³ per cell

(6)
# PBE-GGA Ac6NiPt2I3, relaxed
data_Ac6NiPt2I3
_chemical_formula_sum 'Ac6 Ni1 Pt2 I3'
_cell_length_a 7.702
_cell_length_b 7.702
_cell_length_c 9.009
_cell_angle_alpha 98.19
_cell_angle_beta 98.19
_cell_angle_gamma 120.01
_space_group_name_H-M_alt 'P 1'
_space_group_IT_number 1
loop_
_space_group_symop_operation_xyz
'x,y,z'
loop_
_atom_site_label
_atom_site_type_symbol
_atom_site_fract_x
_atom_site_fract_y
_atom_site_fract_z
Ac1 Ac 0.061 0.388 0.184
Ac2 Ac 0.266 0.266 0.816
Ac3 Ac 0.388 0.061 0.184
Ac4 Ac 0.612 0.939 0.816
Ac5 Ac 0.734 0.734 0.184
Ac6 Ac 0.939 0.612 0.816
Ni1 Ni 0.000 0.000 0.000
Pt1 Pt 0.333 0.667 0.000
Pt2 Pt 0.667 0.333 0.000
I1 I 0.166 0.834 0.500
I2 I 0.500 0.500 0.500
I3 I 0.834 0.166 0.500
# VASP energy = -59.84 eV/cell
# total magnetization = 0.0 μB/f.u.
# space group = C2/m (12)
# uncorrected formation energy = -1056 meV per atom
# calculated volume = 443.6 Å³ per cell

(7)
# PBE-GGA TmThI, relaxed
data_TmThI
_chemical_formula_sum 'Tm2 Th2 I2'
_cell_length_a 3.739
_cell_length_b 3.739
_cell_length_c 17.461
_cell_angle_alpha 90.00
_cell_angle_beta 90.00
_cell_angle_gamma 120.00
_space_group_name_H-M_alt 'P 1'
_space_group_IT_number 1
loop_
_space_group_symop_operation_xyz
'x,y,z'
loop_
_atom_site_label
_atom_site_type_symbol
_atom_site_fract_x
_atom_site_fract_y
_atom_site_fract_z
Tm1 Tm 0.333 0.667 0.254
Tm2 Tm 0.667 0.333 0.746
Th1 Th 0.000 0.000 0.095
Th2 Th 0.000 0.000 0.905
I1 I 0.333 0.667 0.622
I2 I 0.667 0.333 0.378
# relative energy among the computed polymorphs = 0 meV/atom
# VASP energy = -29.44 eV/cell
# total magnetization = 0.2 μB/f.u.
# space group = P-3m1 (164)
# uncorrected formation energy = -425 meV per atom
# calculated volume = 211.4 Å³ per cell

(8)
# PBE-GGA FeCo4Cu, relaxed
data_FeCo4Cu
_chemical_formula_sum 'Fe1 Co4 Cu1'
_cell_length_a 4.654
_cell_length_b 4.654
_cell_length_c 4.654
_cell_angle_alpha 60.00
_cell_angle_beta 60.00
_cell_angle_gamma 60.00
_space_group_name_H-M_alt 'P 1'
_space_group_IT_number 1
loop_
_space_group_symop_operation_xyz
'x,y,z'
loop_
_atom_site_label
_atom_site_type_symbol
_atom_site_fract_x
_atom_site_fract_y
_atom_site_fract_z
Fe1 Fe 0.000 0.000 0.000
Co1 Co 0.125 0.625 0.625
Co2 Co 0.625 0.125 0.625
Co3 Co 0.625 0.625 0.125
Co4 Co 0.625 0.625 0.625
Cu1 Cu 0.250 0.250 0.250
# VASP energy = -39.87 eV/cell
# total magnetization = 9.8 μB/f.u.
# space group = F-43m (216)
# formation energy = 0.186 eV/atom
# calculated volume = 71.3 Å³ per cell

(9)
# PBE-GGA TaAl2W, relaxed
data_TaAl2W
_chemical_formula_sum 'Ta2 Al4 W2'
_cell_length_a 9.520
_cell_length_b 2.793
_cell_length_c 4.920
_cell_angle_alpha 90.00
_cell_angle_beta 98.20
_cell_angle_gamma 90.00
_space_group_name_H-M_alt 'P 1'
_space_group_IT_number 1
loop_
_space_group_symop_operation_xyz
'x,y,z'
loop_
_atom_site_label
_atom_site_type_symbol
_atom_site_fract_x
_atom_site_fract_y
_atom_site_fract_z
Ta1 Ta 0.000 0.000 0.000
Ta2 Ta 0.500 0.500 0.000
Al1 Al 0.249 0.500 0.243
Al2 Al 0.494 0.000 0.493
Al3 Al 0.749 0.000 0.243
Al4 Al 0.994 0.500 0.493
W1 W 0.238 0.000 0.730
W2 W 0.738 0.500 0.730
# relative energy among the computed polymorphs = 91 meV/atom
# VASP energy = -65.06 eV/cell
# total magnetization = 0.0 μB/f.u.
# space group = Cm (8)
# formation energy = -0.059 eV/atom
# calculated volume = 129.5 Å³ per cell

(10)
# PBE-GGA Hf2FeW, relaxed
data_Hf2FeW
_chemical_formula_sum 'Hf8 Fe4 W4'
_cell_length_a 6.494
_cell_length_b 6.494
_cell_length_c 6.494
_cell_angle_alpha 90.00
_cell_angle_beta 90.00
_cell_angle_gamma 90.00
_space_group_name_H-M_alt 'P 1'
_space_group_IT_number 1
loop_
_space_group_symop_operation_xyz
'x,y,z'
loop_
_atom_site_label
_atom_site_type_symbol
_atom_site_fract_x
_atom_site_fract_y
_atom_site_fract_z
Hf1 Hf 0.250 0.250 0.250
Hf2 Hf 0.250 0.250 0.750
Hf3 Hf 0.250 0.750 0.250
Hf4 Hf 0.250 0.750 0.750
Hf5 Hf 0.750 0.250 0.250
Hf6 Hf 0.750 0.250 0.750
Hf7 Hf 0.750 0.750 0.250
Hf8 Hf 0.750 0.750 0.750
Fe1 Fe 0.000 0.000 0.000
Fe2 Fe 0.000 0.500 0.500
Fe3 Fe 0.500 0.000 0.500
Fe4 Fe 0.500 0.500 0.000
W1 W 0.000 0.000 0.500
W2 W 0.000 0.500 0.000
W3 W 0.500 0.000 0.000
W4 W 0.500 0.500 0.500
# relative energy among the computed polymorphs = 80 meV/atom
# VASP energy = -164.98 eV/cell
# total magnetization = 0.0 μB/f.u.
# space group = Fm-3m (225)
# formation energy = 0.020 eV/atom
# calculated volume = 273.8 Å³ per cell

(11)
# PBE-GGA AcLaPr2Se4, relaxed
data_AcLaPr2Se4
_chemical_formula_sum 'Ac1 La1 Pr2 Se4'
_cell_length_a 7.489
_cell_length_b 4.303
_cell_length_c 7.541
_cell_angle_alpha 90.00
_cell_angle_beta 109.22
_cell_angle_gamma 90.00
_space_group_name_H-M_alt 'P 1'
_space_group_IT_number 1
loop_
_space_group_symop_operation_xyz
'x,y,z'
loop_
_atom_site_label
_atom_site_type_symbol
_atom_site_fract_x
_atom_site_fract_y
_atom_site_fract_z
Ac1 Ac 0.000 0.000 0.000
La1 La 0.000 0.500 0.500
Pr1 Pr 0.500 0.000 0.500
Pr2 Pr 0.500 0.500 0.000
Se1 Se 0.255 0.000 0.747
Se2 Se 0.258 0.500 0.257
Se3 Se 0.742 0.500 0.743
Se4 Se 0.745 0.000 0.253
# VASP energy = -47.63 eV/cell
# total magnetization = 0.0 μB/f.u.
# space group = P2/m (10)
# uncorrected formation energy = -1887 meV per atom
# calculated volume = 229.5 Å³ per cell

(12)
# PBE-GGA LiPd5Au3, relaxed
data_LiPd5Au3
_chemical_formula_sum 'Li2 Pd10 Au6'
_cell_length_a 7.730
_cell_length_b 7.730
_cell_length_c 7.730
_cell_angle_alpha 123.55
_cell_angle_beta 123.55
_cell_angle_gamma 83.95
_space_group_name_H-M_alt 'P 1'
_space_group_IT_number 1
loop_
_space_group_symop_operation_xyz
'x,y,z'
loop_
_atom_site_label
_atom_site_type_symbol
_atom_site_fract_x
_atom_site_fract_y
_atom_site_fract_z
Li1 Li 0.250 0.750 0.500
Li2 Li 0.750 0.250 0.500
Pd1 Pd 0.000 0.000 0.000
Pd2 Pd 0.042 0.542 0.878
Pd3 Pd 0.165 0.042 0.500
Pd4 Pd 0.335 0.835 0.878
Pd5 Pd 0.458 0.335 0.500
Pd6 Pd 0.500 0.500 0.000
Pd7 Pd 0.542 0.665 0.500
Pd8 Pd 0.665 0.165 0.122
Pd9 Pd 0.835 0.958 0.500
Pd10 Pd 0.958 0.458 0.122
Au1 Au 0.123 0.377 0.500
Au2 Au 0.250 0.250 0.000
Au3 Au 0.377 0.877 0.254
Au4 Au 0.623 0.123 0.746
Au5 Au 0.750 0.750 0.000
Au6 Au 0.877 0.623 0.500
# VASP energy = -72.91 eV/cell
# total magnetization = 0.0 μB/f.u.
# space group = I4/mcm (140)
# formation energy = 0.140 eV/atom
# calculated volume = 307.2 Å³ per cell